(1)
Entry from Alexandria: crystalline TaTlB3 at its relaxed geometry (PBE).

Cell lengths 4.4405, 4.4405, 4.4405 Å; angles 90.00, 90.00, 90.00 degrees
Fractional coordinates of all 5 atoms:
B1 0.5000 0.0000 0.0000
B2 0.0000 0.0000 0.5000
B3 0.0000 0.5000 0.0000
Tl1 0.5000 0.5000 0.5000
Ta1 0.0000 0.0000 0.0000

## Properties
Total moment   0.00 μB/atom
Total DFT energy (no corrections)   -5.436 eV/atom
Fermi-level density of states   1.16 states/eV per atom
Energy above the lowest structure with this stoichiometry   0.0000 eV per atom
ΔE_f   136.5 kJ/mol of atoms

---

(2)
Entry from Alexandria: crystalline TaTlB2 at its relaxed geometry (PBE).

Cell lengths 4.2600, 4.2600, 4.2600 Å; angles 60.00, 60.00, 60.00 degrees
Fractional coordinates of all 4 atoms:
Tl1 0.5000 0.5000 0.5000
B1 0.2500 0.2500 0.2500
B2 0.7500 0.7500 0.7500
Ta1 0.0000 0.0000 0.0000

## Properties
Total moment   0.00 μB/atom
Total DFT energy (no corrections)   -5.449 eV/atom
Fermi-level density of states   0.53 states/eV per atom
Energy above the lowest structure with this stoichiometry   0.4161 eV per atom
ΔE_f   139.4 kJ/mol of atoms

---

(3)
Entry from Alexandria: crystalline TaTl2B at its relaxed geometry (PBE).

Cell lengths 8.9045, 8.9045, 6.6833 Å; angles 48.23, 48.23, 90.00 degrees
Fractional coordinates of all 8 atoms:
B1 0.5000 0.5000 0.0000
B2 0.2500 0.7500 0.5000
Tl1 0.8750 0.7408 0.7500
Tl2 0.3750 0.5092 0.7500
Tl3 0.2592 0.6250 0.2500
Tl4 0.4908 0.1250 0.2500
Ta1 0.7500 0.2500 0.5000
Ta2 0.0000 0.0000 0.0000

## Properties
Total moment   0.00 μB/atom
Total DFT energy (no corrections)   -4.747 eV/atom
Fermi-level density of states   0.96 states/eV per atom
Energy above the lowest structure with this stoichiometry   0.0000 eV per atom
ΔE_f   103.1 kJ/mol of atoms

---

(4)
Entry from Alexandria: crystalline Ta2TlB at its relaxed geometry (PBE).

Cell lengths 6.9254, 6.9254, 5.6694 Å; angles 52.35, 52.35, 90.00 degrees
Fractional coordinates of all 8 atoms:
Ta1 0.1841 0.6250 0.2500
Ta2 0.5659 0.1250 0.2500
Ta3 0.8750 0.8159 0.7500
Ta4 0.3750 0.4341 0.7500
B1 0.2500 0.7500 0.5000
B2 0.5000 0.5000 0.0000
Tl1 0.0000 0.0000 0.0000
Tl2 0.7500 0.2500 0.5000

## Properties
Total moment   0.00 μB/atom
Total DFT energy (no corrections)   -7.651 eV/atom
Fermi-level density of states   0.13 states/eV per atom
Energy above the lowest structure with this stoichiometry   0.0000 eV per atom
ΔE_f   51.7 kJ/mol of atoms

---

- Which formula does entry 1 have?
  TaTlB3

---

- Which formula does entry 4 have?
  Ta2TlB